{"formula": "LiTbMgPb", "functional": "GGA-PBE", "state": "relaxed", "cell": [[7.352, 0.000, 0.000], [0.000, 7.352, 0.000], [0.000, 0.000, 7.352]], "species": ["Li", "Li", "Li", "Li", "Tb", "Tb", "Tb", "Tb", "Mg", "Mg", "Mg", "Mg", "Pb", "Pb", "Pb", "Pb"], "frac_coords": [[0.000, 0.000, 0.000], [0.000, 0.500, 0.500], [0.500, 0.000, 0.500], [0.500, 0.500, 0.000], [0.000, 0.000, 0.500], [0.000, 0.500, 0.000], [0.500, 0.000, 0.000], [0.500, 0.500, 0.500], [0.250, 0.250, 0.750], [0.250, 0.750, 0.250], [0.750, 0.250, 0.250], [0.750, 0.750, 0.750], [0.250, 0.250, 0.250], [0.250, 0.750, 0.750], [0.750, 0.250, 0.750], [0.750, 0.750, 0.250]], "ef_ev_per_atom": -0.2513}

{"formula": "Ac5Sm12Au3", "functional": "GGA-PBE", "state": "relaxed", "cell": [[-9.421, 9.421, 9.421], [9.421, -9.421, 9.421], [9.421, 9.421, -9.421]], "species": ["Ac", "Ac", "Ac", "Ac", "Ac", "Ac", "Ac", "Ac", "Ac", "Ac", "Ac", "Ac", "Ac", "Ac", "Ac", "Ac", "Ac", "Ac", "Ac", "Ac", "Sm", "Sm", "Sm", "Sm", "Sm", "Sm", "Sm", "Sm", "Sm", "Sm", "Sm", "Sm", "Sm", "Sm", "Sm", "Sm", "Sm", "Sm", "Sm", "Sm", "Sm", "Sm", "Sm", "Sm", "Sm", "Sm", "Sm", "Sm", "Sm", "Sm", "Sm", "Sm", "Sm", "Sm", "Sm", "Sm", "Sm", "Sm", "Sm", "Sm", "Sm", "Sm", "Sm", "Sm", "Sm", "Sm", "Sm", "Sm", "Au", "Au", "Au", "Au", "Au", "Au", "Au", "Au", "Au", "Au", "Au", "Au"], "frac_coords": [[0.000, 0.000, 0.000], [0.000, 0.000, 0.500], [0.000, 0.500, 0.000], [0.000, 0.500, 0.500], [0.125, 0.750, 0.875], [0.125, 0.875, 0.250], [0.250, 0.125, 0.875], [0.250, 0.625, 0.375], [0.375, 0.250, 0.625], [0.375, 0.625, 0.750], [0.500, 0.000, 0.000], [0.500, 0.000, 0.500], [0.500, 0.500, 0.000], [0.500, 0.500, 0.500], [0.625, 0.375, 0.250], [0.625, 0.750, 0.375], [0.750, 0.375, 0.625], [0.750, 0.875, 0.125], [0.875, 0.125, 0.750], [0.875, 0.250, 0.125], [0.048, 0.641, 0.397], [0.048, 0.907, 0.651], [0.093, 0.244, 0.141], [0.093, 0.349, 0.952], [0.103, 0.744, 0.651], [0.103, 0.859, 0.452], [0.141, 0.093, 0.244], [0.141, 0.548, 0.897], [0.151, 0.244, 0.603], [0.151, 0.407, 0.548], [0.244, 0.141, 0.093], [0.244, 0.603, 0.151], [0.256, 0.349, 0.897], [0.256, 0.407, 0.359], [0.349, 0.897, 0.256], [0.349, 0.952, 0.093], [0.359, 0.256, 0.407], [0.359, 0.603, 0.952], [0.397, 0.048, 0.641], [0.397, 0.849, 0.756], [0.407, 0.359, 0.256], [0.407, 0.548, 0.151], [0.452, 0.103, 0.859], [0.452, 0.849, 0.593], [0.548, 0.151, 0.407], [0.548, 0.897, 0.141], [0.593, 0.452, 0.849], [0.593, 0.641, 0.744], [0.603, 0.151, 0.244], [0.603, 0.952, 0.359], [0.641, 0.397, 0.048], [0.641, 0.744, 0.593], [0.651, 0.048, 0.907], [0.651, 0.103, 0.744], [0.744, 0.593, 0.641], [0.744, 0.651, 0.103], [0.756, 0.397, 0.849], [0.756, 0.859, 0.907], [0.849, 0.593, 0.452], [0.849, 0.756, 0.397], [0.859, 0.452, 0.103], [0.859, 0.907, 0.756], [0.897, 0.141, 0.548], [0.897, 0.256, 0.349], [0.907, 0.651, 0.048], [0.907, 0.756, 0.859], [0.952, 0.093, 0.349], [0.952, 0.359, 0.603], [0.125, 0.250, 0.375], [0.125, 0.375, 0.750], [0.250, 0.375, 0.125], [0.250, 0.875, 0.625], [0.375, 0.125, 0.250], [0.375, 0.750, 0.125], [0.625, 0.250, 0.875], [0.625, 0.875, 0.750], [0.750, 0.125, 0.375], [0.750, 0.625, 0.875], [0.875, 0.625, 0.250], [0.875, 0.750, 0.625]], "ef_ev_per_atom": 0.6124}

{"formula": "Rb4Pd3Cl12", "functional": "GGA-PBE", "state": "relaxed", "cell": [[-5.701, 5.701, 5.701], [5.701, -5.701, 5.701], [5.701, 5.701, -5.701]], "species": ["Rb", "Rb", "Rb", "Rb", "Pd", "Pd", "Pd", "Cl", "Cl", "Cl", "Cl", "Cl", "Cl", "Cl", "Cl", "Cl", "Cl", "Cl", "Cl"], "frac_coords": [[0.000, 0.000, 0.500], [0.000, 0.500, 0.000], [0.500, 0.000, 0.000], [0.500, 0.500, 0.500], [0.000, 0.500, 0.500], [0.500, 0.000, 0.500], [0.500, 0.500, 0.000], [0.143, 0.357, 0.499], [0.143, 0.643, 0.786], [0.214, 0.857, 0.357], [0.357, 0.214, 0.857], [0.357, 0.499, 0.143], [0.499, 0.143, 0.357], [0.501, 0.857, 0.643], [0.643, 0.501, 0.857], [0.643, 0.786, 0.143], [0.786, 0.143, 0.643], [0.857, 0.357, 0.214], [0.857, 0.643, 0.501]], "e_form_raw_ev_per_atom": -1.026}